# Er2Cu3Ni

Crystalline Er2Cu3Ni at its relaxed geometry (GGA-PBE, the Alexandria database).

CIF file:
```
data_Er2Cu3Ni
_symmetry_space_group_name_H-M 'P m m 2'
_symmetry_Int_Tables_number 25
_symmetry_space_group_name_Hall 'P 2 -2'
_cell_length_a 3.486
_cell_length_b 4.222
_cell_length_c 7.191
_cell_angle_alpha 90.00
_cell_angle_beta 90.00
_cell_angle_gamma 90.00
loop_
_atom_site_label
_atom_site_type_symbol
_atom_site_fract_x
_atom_site_fract_y
_atom_site_fract_z
Er1 Er 0.000 0.000 0.000
Er2 Er 0.000 0.500 0.479
Cu1 Cu 0.500 0.000 0.654
Cu2 Cu 0.500 0.500 0.156
Cu3 Cu 0.500 0.500 0.820
Ni1 Ni 0.500 0.000 0.319
```

Formation energy from the elements   -300.4 meV/atom
VASP energy   -29.00 eV per cell
Magnetic moment   0.00 μB/f.u.
Polymorph energy (0 for the lowest one)   0.000 eV per atom
N(E_F)   4.19 states/eV/f.u.